# 1
Compound: Ta3IBr
Source: the Alexandria database
Functional: PBE-GGA
Structure: optimized geometry

ΔE_f (raw)   1.7495 eV per atom
Calculated volume   22.41 Å³ per atom
E above lowest polymorph   0 meV/atom
Mass density   11.1 g/cm3

Lattice parameters (Å, degrees): 4.821 4.821 4.821 90.00 90.00 90.00
Space group Pm-3m (No. 221)
Asymmetric unit:
Ta1 0.000 0.000 0.500 x3
I1 0.500 0.500 0.500 x1
Br1 0.000 0.000 0.000 x1

# 2
Compound: CaGaTeW2
Source: the Alexandria database
Functional: PBE-GGA
Structure: optimized geometry

ΔE_f (raw)   1.3607 eV per atom
Calculated volume   24.50 Å³ per atom
Mass density   8.2 g/cm3

Lattice parameters (Å, degrees): 4.751 4.751 5.426 90.00 90.00 90.00
Space group P4/mmm (No. 123)
Asymmetric unit:
Ca1 0.000 0.000 0.000 x1
Ga1 0.500 0.500 0.500 x1
Te1 0.500 0.500 0.000 x1
W1 0.000 0.500 0.500 x2

# 3
Compound: TbNd2Sm2Er2
Source: the Alexandria database
Functional: PBE-GGA
Structure: optimized geometry

Calculated volume   32.93 Å³ per atom
ΔE_f   0.02 eV/atom
Mass density   7.8 g/cm3

Lattice parameters (Å, degrees): 11.384 5.086 8.044 90.00 98.16 90.00
Space group C2/m (No. 12)
Asymmetric unit:
Tb1 0.000 0.000 0.000 x2
Nd1 0.143 0.000 0.428 x4
Sm1 0.071 0.500 0.719 x4
Er1 0.215 0.500 0.140 x4

# 4
Compound: Cs3Ag2I6
Source: the Alexandria database
Functional: PBE-GGA
Structure: optimized geometry

ΔE_f (raw)   -0.9363 eV per atom
Calculated volume   47.22 Å³ per atom
Mass density   4.4 g/cm3

Lattice parameters (Å, degrees): 5.685 5.685 32.145 90.00 90.00 90.00
Space group I4/mmm (No. 139)
Asymmetric unit:
Cs1 0.000 0.000 0.000 x2
Cs2 0.000 0.000 0.180 x4
Ag1 0.000 0.000 0.393 x4
I1 0.000 0.000 0.302 x4
I2 0.000 0.500 0.085 x8

# 5
Compound: CoPb3
Source: the Alexandria database
Functional: PBE-GGA
Structure: optimized geometry

Calculated volume   25.42 Å³ per atom
ΔE_f   0.57 eV/atom
Mass density   11.1 g/cm3

Lattice parameters (Å, degrees): 7.409 7.409 7.409 90.00 90.00 90.00
Space group Fm-3m (No. 225)
Asymmetric unit:
Co1 0.000 0.000 0.000 x4
Pb1 0.000 0.000 0.500 x4
Pb2 0.250 0.250 0.250 x8

# 6
Compound: CeMg3
Source: the Alexandria database
Functional: PBE-GGA
Structure: optimized geometry

Calculated volume   25.02 Å³ per atom
ΔE_f   -0.03 eV/atom
Mass density   3.5 g/cm3

Lattice parameters (Å, degrees): 7.370 7.370 7.370 90.00 90.00 90.00
Space group Fm-3m (No. 225)
Asymmetric unit:
Ce1 0.000 0.000 0.000 x4
Mg1 0.000 0.000 0.500 x4
Mg2 0.250 0.250 0.250 x8